1.
DFT (GGA-PBE) results for a geometry-optimized Cs4BiAs3Se7 structure.

Cell lengths 13.7281, 24.3564, 18.4384 Å; angles 90.00, 129.91, 90.00 degrees
Closest atoms and distances in Å follow each position.
Sites, in units of the cell vectors:
Cs1 0.0609 0.1866 0.1139  6 Se 3.64-3.98, 1 As 3.70
Cs2 0.0609 0.3134 0.6139  6 Se 3.64-3.98, 1 As 3.70
Cs3 0.1659 0.2218 0.9067  6 Se 3.73-4.11, 2 As 3.82-4.12
Cs4 0.1659 0.2782 0.4067  6 Se 3.73-4.11, 2 As 3.82-4.12
Cs5 0.1946 0.6616 0.1222  7 Se 3.77-4.09
Cs6 0.1946 0.8384 0.6222  7 Se 3.77-4.09
Cs7 0.2395 0.5249 0.5760  5 Se 3.73-3.98, 1 As 3.83
Cs8 0.2395 0.9751 0.0760  5 Se 3.73-3.98, 1 As 3.83
Cs9 0.2551 0.0332 0.5701  4 Se 3.63-3.77, 2 As 3.77-4.05
Cs10 0.2551 0.4668 0.0701  4 Se 3.63-3.77, 2 As 3.77-4.05
Cs11 0.3330 0.7304 0.9476  6 Se 3.66-3.98, 1 As 3.84
Cs12 0.3330 0.7696 0.4476  6 Se 3.66-3.98, 1 As 3.84
Cs13 0.3610 0.5754 0.3925  7 Se 3.72-3.92
Cs14 0.3610 0.9246 0.8925  7 Se 3.72-3.92
Cs15 0.3848 0.0680 0.3715  6 Se 3.66-3.83, 2 As 3.85-3.99
Cs16 0.3848 0.4320 0.8715  6 Se 3.66-3.83, 2 As 3.85-3.99
Cs17 0.6152 0.5680 0.1285  6 Se 3.66-3.83, 2 As 3.85-3.99
Cs18 0.6152 0.9320 0.6285  6 Se 3.66-3.83, 2 As 3.85-3.99
Cs19 0.6390 0.0754 0.1075  7 Se 3.72-3.92
Cs20 0.6390 0.4246 0.6075  7 Se 3.72-3.92
Cs21 0.6670 0.2304 0.5524  6 Se 3.66-3.98, 1 As 3.84
Cs22 0.6670 0.2696 0.0524  6 Se 3.66-3.98, 1 As 3.84
Cs23 0.7449 0.5332 0.9299  4 Se 3.63-3.77, 2 As 3.77-4.05
Cs24 0.7449 0.9668 0.4299  4 Se 3.63-3.77, 2 As 3.77-4.05
Cs25 0.7605 0.0249 0.9240  5 Se 3.73-3.98, 1 As 3.83
Cs26 0.7605 0.4751 0.4240  5 Se 3.73-3.98, 1 As 3.83
Cs27 0.8054 0.1616 0.3778  7 Se 3.77-4.09
Cs28 0.8054 0.3384 0.8778  7 Se 3.77-4.09
Cs29 0.8341 0.7218 0.5933  6 Se 3.73-4.11, 2 As 3.82-4.12
Cs30 0.8341 0.7782 0.0933  6 Se 3.73-4.11, 2 As 3.82-4.12
Cs31 0.9391 0.6866 0.3861  6 Se 3.64-3.98, 1 As 3.70
Cs32 0.9391 0.8134 0.8861  6 Se 3.64-3.98, 1 As 3.70
Bi1 0.0019 0.0522 0.7555  6 Se 2.94-3.05
Bi2 0.0019 0.4478 0.2555  6 Se 2.94-3.05
Bi3 0.4659 0.2041 0.7229  6 Se 2.93-3.02
Bi4 0.4659 0.2959 0.2229  6 Se 2.93-3.02
Bi5 0.5341 0.7041 0.7771  6 Se 2.93-3.02
Bi6 0.5341 0.7959 0.2771  6 Se 2.93-3.02
Bi7 0.9981 0.5522 0.7445  6 Se 2.94-3.05
Bi8 0.9981 0.9478 0.2445  6 Se 2.94-3.05
As1 0.0512 0.0980 0.3071  3 Se 2.37-2.46
As2 0.0512 0.4020 0.8071  3 Se 2.37-2.46
As3 0.1884 0.1760 0.7199  2 Se 2.41-2.43, 1 As 2.50
As4 0.1884 0.3240 0.2199  2 Se 2.41-2.43, 1 As 2.50
As5 0.1885 0.6623 0.7100  2 Se 2.41, 1 As 2.53
As6 0.1885 0.8377 0.2100  2 Se 2.41, 1 As 2.53
As7 0.2934 0.0842 0.7801  2 Se 2.41-2.42, 1 As 2.50
As8 0.2934 0.4158 0.2801  2 Se 2.41-2.42, 1 As 2.50
As9 0.3436 0.5854 0.8082  2 Se 2.41, 1 As 2.53
As10 0.3436 0.9146 0.3082  2 Se 2.41, 1 As 2.53
As11 0.3938 0.1441 0.1731  3 Se 2.37-2.46
As12 0.3938 0.3559 0.6731  3 Se 2.37-2.46
As13 0.6062 0.6441 0.3269  3 Se 2.37-2.46
As14 0.6062 0.8559 0.8269  3 Se 2.37-2.46
As15 0.6564 0.0854 0.6918  2 Se 2.41, 1 As 2.53
As16 0.6564 0.4146 0.1918  2 Se 2.41, 1 As 2.53
As17 0.7066 0.5842 0.7199  2 Se 2.41-2.42, 1 As 2.50
As18 0.7066 0.9158 0.2199  2 Se 2.41-2.42, 1 As 2.50
As19 0.8115 0.1623 0.7900  2 Se 2.41, 1 As 2.53
As20 0.8115 0.3377 0.2900  2 Se 2.41, 1 As 2.53
As21 0.8116 0.6760 0.7801  2 Se 2.41-2.43, 1 As 2.50
As22 0.8116 0.8240 0.2801  2 Se 2.41-2.43, 1 As 2.50
As23 0.9488 0.5980 0.1929  3 Se 2.37-2.46
As24 0.9488 0.9020 0.6929  3 Se 2.37-2.46
Se1 0.0112 0.6027 0.6008  1 As 2.41
Se2 0.0112 0.8973 0.1008  1 As 2.41
Se3 0.0271 0.6503 0.8545  1 As 2.41
Se4 0.0271 0.8497 0.3545  1 As 2.41
Se5 0.0303 0.0508 0.1795  1 As 2.46
Se6 0.0303 0.4492 0.6795  1 As 2.46
Se7 0.0545 0.5295 0.1660  1 As 2.46
Se8 0.0545 0.9705 0.6660  1 As 2.46
Se9 0.0854 0.6752 0.2640  1 As 2.37
Se10 0.0854 0.8248 0.7640  1 As 2.37
Se11 0.1886 0.1803 0.5883  1 As 2.43
Se12 0.1886 0.3197 0.0883  1 As 2.43
Se13 0.2532 0.6856 0.6196  1 As 2.41
Se14 0.2532 0.8144 0.1196  1 As 2.41
Se15 0.2749 0.0766 0.9019  1 As 2.42
Se16 0.2749 0.4234 0.4019  1 As 2.42
Se17 0.2824 0.5694 0.9032  1 As 2.41
Se18 0.2824 0.9306 0.4032  1 As 2.41
Se19 0.4292 0.1996 0.2998  1 As 2.46
Se20 0.4292 0.3004 0.7998  1 As 2.46
Se21 0.4670 0.1392 0.5847  1 As 2.41
Se22 0.4670 0.3608 0.0847  1 As 2.41
Se23 0.4755 0.5651 0.2533  1 As 2.37
Se24 0.4755 0.9349 0.7533  1 As 2.37
Se25 0.4969 0.2054 0.1347  1 As 2.45
Se26 0.4969 0.2946 0.6347  1 As 2.45
Se27 0.4970 0.6208 0.6404  1 As 2.41
Se28 0.4970 0.8792 0.1404  1 As 2.41
Se29 0.5030 0.1208 0.8596  1 As 2.41
Se30 0.5030 0.3792 0.3596  1 As 2.41
Se31 0.5031 0.7054 0.3653  1 As 2.45
Se32 0.5031 0.7946 0.8653  1 As 2.45
Se33 0.5245 0.0651 0.2467  1 As 2.37
Se34 0.5245 0.4349 0.7467  1 As 2.37
Se35 0.5330 0.6392 0.9153  1 As 2.41
Se36 0.5330 0.8608 0.4153  1 As 2.41
Se37 0.5708 0.6996 0.2002  1 As 2.46
Se38 0.5708 0.8004 0.7002  1 As 2.46
Se39 0.7176 0.0694 0.5968  1 As 2.41
Se40 0.7176 0.4306 0.0968  1 As 2.41
Se41 0.7251 0.5766 0.5981  1 As 2.42
Se42 0.7251 0.9234 0.0981  1 As 2.42
Se43 0.7468 0.1856 0.8804  1 As 2.41
Se44 0.7468 0.3144 0.3804  1 As 2.41
Se45 0.8114 0.6803 0.9117  1 As 2.43
Se46 0.8114 0.8197 0.4117  1 As 2.43
Se47 0.9146 0.1752 0.2360  1 As 2.37
Se48 0.9146 0.3248 0.7360  1 As 2.37
Se49 0.9455 0.0295 0.3340  1 As 2.46
Se50 0.9455 0.4705 0.8340  1 As 2.46
Se51 0.9697 0.5508 0.3205  1 As 2.46
Se52 0.9697 0.9492 0.8205  1 As 2.46
Se53 0.9729 0.1503 0.6455  1 As 2.41
Se54 0.9729 0.3497 0.1455  1 As 2.41
Se55 0.9888 0.1027 0.8992  1 As 2.41
Se56 0.9888 0.3973 0.3992  1 As 2.41

Summary:
energy relative to the elements, uncorrected	-723	meV per atom
symmetry	P2_1/c (14)
volume	4729.1	Å³/cell



2.
DFT (GGA-PBE) results for a geometry-optimized Tb2Al4HgPd3 structure.

Cell lengths 4.2626, 4.2626, 10.7059 Å; angles 90.00, 90.00, 90.00 degrees
Closest atoms and distances in Å follow each position.
Sites, in units of the cell vectors:
Tb1 0.0000 0.5000 0.2393  6 Pd 3.24-3.51, 8 Al 3.27-3.33, 2 Hg 3.51
Tb2 0.5000 0.0000 0.7607  6 Pd 3.24-3.51, 8 Al 3.27-3.33, 2 Hg 3.51
Al1 0.0000 0.0000 0.0000  4 Pd 2.54
Al2 0.0000 0.5000 0.6433  3 Pd 2.43-2.63, 2 Hg 2.63
Al3 0.5000 0.0000 0.3567  3 Pd 2.43-2.63, 2 Hg 2.63
Al4 0.5000 0.5000 0.0000  4 Pd 2.54
Hg1 0.0000 0.0000 0.5000  4 Al 2.63
Pd1 0.0000 0.5000 0.8707  5 Al 2.43-2.54
Pd2 0.5000 0.0000 0.1293  5 Al 2.43-2.54
Pd3 0.5000 0.5000 0.5000  4 Al 2.63

Summary:
symmetry	P-4m2 (115)
volume	194.5	Å³/cell
final energy	-4.727	eV per atom